(1)
A relaxed structure of CsSmS. Source: the Alexandria database, functional PBE-GGA.

Properties
Calculated density ... 3.89 g/cm3
N(E_F) ... 6.81 states/eV/cell
Total magnetization ... 1.15 Bohr magnetons per cell
Crystal system ... trigonal
Formation energy without anion corrections ... -0.986 eV per atom

Cell: 14.1293 14.1293 14.1293 Å, 19.30 19.30 19.30°
With the nearest neighbours (Å) after each atom.
Element x y z (fractional)
Cs1 0.1106 0.1106 0.1106  3 S 4.05, 3 Sm 4.36
Cs2 0.8894 0.8894 0.8894  3 S 4.05, 3 Sm 4.36
Sm1 0.3045 0.3045 0.3045  4 S 2.77-2.82
Sm2 0.6955 0.6955 0.6955  4 S 2.77-2.82
S1 0.3722 0.3722 0.3722  4 Sm 2.77-2.82
S2 0.6278 0.6278 0.6278  4 Sm 2.77-2.82



(2)
A relaxed structure of CsSm4S6. Source: the Alexandria database, functional PBE-GGA.

Properties
Calculated density ... 5.09 g/cm3
N(E_F) ... 4.19 states/eV/cell
Total magnetization ... 0.00 Bohr magnetons per cell
Crystal system ... orthorhombic
Formation energy without anion corrections ... -1.922 eV per atom

Cell: 7.1067 7.1067 21.7763 Å, 90.00 90.00 146.68°
With the nearest neighbours (Å) after each atom.
Element x y z (fractional)
Cs1 0.1499 0.8501 0.7500  6 S 3.40-3.45
Cs2 0.8501 0.1499 0.2500  6 S 3.40-3.45
Sm1 0.1023 0.8977 0.1324  5 S 2.64-2.93
Sm2 0.1023 0.8977 0.3676  5 S 2.64-2.93
Sm3 0.3696 0.6304 0.0400  6 S 2.69-2.91
Sm4 0.3696 0.6304 0.4600  6 S 2.69-2.91
Sm5 0.6304 0.3696 0.5400  6 S 2.69-2.91
Sm6 0.6304 0.3696 0.9600  6 S 2.69-2.91
Sm7 0.8977 0.1023 0.6324  5 S 2.64-2.93
Sm8 0.8977 0.1023 0.8676  5 S 2.64-2.93
S1 0.0000 0.0000 0.0000  4 Sm 2.84
S2 0.0000 0.0000 0.5000  4 Sm 2.84
S3 0.1503 0.8497 0.2500  2 Sm 2.64
S4 0.2699 0.7301 0.5783  5 Sm 2.91-2.93
S5 0.2699 0.7301 0.9217  5 Sm 2.91-2.93
S6 0.4697 0.5303 0.1463  3 Sm 2.69-2.74
S7 0.4697 0.5303 0.3537  3 Sm 2.69-2.74
S8 0.5303 0.4697 0.6463  3 Sm 2.69-2.74
S9 0.5303 0.4697 0.8537  3 Sm 2.69-2.74
S10 0.7301 0.2699 0.0783  5 Sm 2.91-2.93
S11 0.7301 0.2699 0.4217  5 Sm 2.91-2.93
S12 0.8497 0.1503 0.7500  2 Sm 2.64



Question: Which formula does entry 1 have?
Answer: CsSmS



Question: total magnetization of number 1 (CsSmS)?
Answer: 1.15 Bohr magnetons per cell



Question: Which of these has the highest N(E_F)?
Answer: CsSmS



Question: Which of these has the lowest calculated density?
Answer: CsSmS